# 1
# LiB2C2 (PBE, optimized geometry)
# Fermi-level density of states: 3.400 states/eV/cell
# Formation enthalpy at 0 K: -0.02 eV per atom
# E above lowest polymorph: 0.26 eV/f.u.
data_LiB2C2
_chemical_formula_sum 'Li4 B8 C8'
_space_group_name_H-M_alt 'P 1'
_space_group_IT_number 1
_cell_length_a 2.7270
_cell_length_b 4.6608
_cell_length_c 13.9941
_cell_angle_alpha 98.93
_cell_angle_beta 95.09
_cell_angle_gamma 90.13
loop_
_space_group_symop_operation_xyz
'x,y,z'
loop_
_atom_site_label
_atom_site_fract_x
_atom_site_fract_y
_atom_site_fract_z
Li1 0.0000 0.0000 0.0000
Li2 0.1314 0.1123 0.2606
Li3 0.4998 0.4990 0.0002
Li4 0.7612 0.7366 0.5220
B1 0.0583 0.3964 0.1303
B2 0.1937 0.8140 0.3847
B3 0.3293 0.6480 0.6643
B4 0.4387 0.1054 0.8685
B5 0.5571 0.8900 0.1262
B6 0.7007 0.3207 0.4006
B7 0.8238 0.1431 0.6516
B8 0.9382 0.6048 0.8676
C1 0.0592 0.7267 0.1236
C2 0.2038 0.4828 0.4008
C3 0.3204 0.9812 0.6489
C4 0.4396 0.7702 0.8724
C5 0.5612 0.2286 0.1287
C6 0.6966 0.9754 0.3844
C7 0.8268 0.4879 0.6629
C8 0.9395 0.2698 0.8726


# 2
# Ba2BeF6 (PBE, optimized geometry)
# Fermi-level density of states: 0.000 states/eV/cell
# Energy relative to the elements, uncorrected: -3684 meV/atom
# E above lowest polymorph: 0.00 eV/f.u.
data_Ba2BeF6
_chemical_formula_sum 'Ba4 Be2 F12'
_space_group_name_H-M_alt 'P 1 21 1'
_space_group_IT_number 4
_cell_length_a 4.8610
_cell_length_b 7.6535
_cell_length_c 8.5477
_cell_angle_alpha 90.00
_cell_angle_beta 92.75
_cell_angle_gamma 90.00
loop_
_space_group_symop_operation_xyz
'x,y,z'
'-x,y+1/2,-z'
loop_
_atom_site_label
_atom_site_fract_x
_atom_site_fract_y
_atom_site_fract_z
Ba1 0.2093 0.0000 0.0893
Ba2 0.2326 0.7385 0.5566
Be1 0.3051 0.4860 0.2278
F1 0.1699 0.3500 0.1107
F2 0.1886 0.6743 0.2057
F3 0.2370 0.0437 0.4019
F4 0.2488 0.4252 0.4007
F5 0.2843 0.5704 0.8225
F6 0.3792 0.9823 0.7899


# 3
# TlCr2Ag (PBE, optimized geometry)
# Fermi-level density of states: 1.945 states/eV/cell
# Formation enthalpy at 0 K: 0.60 eV per atom
data_TlCr2Ag
_chemical_formula_sum 'Tl1 Cr2 Ag1'
_space_group_name_H-M_alt 'P 4/m m m'
_space_group_IT_number 123
_space_group_name_Hall '-P 4 2'
_cell_length_a 4.5671
_cell_length_b 4.5671
_cell_length_c 3.5663
_cell_angle_alpha 90.00
_cell_angle_beta 90.00
_cell_angle_gamma 90.00
loop_
_atom_site_label
_atom_site_fract_x
_atom_site_fract_y
_atom_site_fract_z
Tl1 0.0000 0.0000 0.0000
Cr1 0.0000 0.5000 0.5000
Ag1 0.5000 0.5000 0.0000


# 4
# CoTeBr (PBE, optimized geometry)
# Fermi-level density of states: 12.841 states/eV/cell
# Energy relative to the elements, uncorrected: 79 meV/atom
data_CoTeBr
_chemical_formula_sum 'Co4 Te4 Br4'
_space_group_name_H-M_alt 'F m m 2'
_space_group_IT_number 42
_space_group_name_Hall 'F 2 -2'
_cell_length_a 3.5808
_cell_length_b 6.5299
_cell_length_c 15.0374
_cell_angle_alpha 90.00
_cell_angle_beta 90.00
_cell_angle_gamma 90.00
loop_
_atom_site_label
_atom_site_fract_x
_atom_site_fract_y
_atom_site_fract_z
Co1 0.0000 0.0000 0.0000
Te1 0.0000 0.0000 0.6121
Br1 0.0000 0.0000 0.3916


# 5
# Zr3RuPb (PBE, optimized geometry)
# Fermi-level density of states: 6.990 states/eV/cell
# Formation enthalpy at 0 K: 0.12 eV per atom
# E above lowest polymorph: 0.00 eV/f.u.
data_Zr3RuPb
_chemical_formula_sum 'Zr3 Ru1 Pb1'
_space_group_name_H-M_alt 'P m -3 m'
_space_group_IT_number 221
_space_group_name_Hall '-P 4 2 3'
_cell_length_a 5.0323
_cell_length_b 5.0323
_cell_length_c 5.0323
_cell_angle_alpha 90.00
_cell_angle_beta 90.00
_cell_angle_gamma 90.00
loop_
_atom_site_label
_atom_site_fract_x
_atom_site_fract_y
_atom_site_fract_z
Zr1 0.0000 0.0000 0.5000
Ru1 0.0000 0.0000 0.0000
Pb1 0.5000 0.5000 0.5000


# 6
# Li12Mg6Al (PBE, optimized geometry)
# Fermi-level density of states: 24.218 states/eV/cell
# Formation enthalpy at 0 K: -0.03 eV per atom
data_Li12Mg6Al
_chemical_formula_sum 'Li36 Mg18 Al3'
_space_group_name_H-M_alt 'R -3'
_space_group_IT_number 148
_space_group_name_Hall '-R 3'
_cell_length_a 10.5753
_cell_length_b 10.5753
_cell_length_c 12.1782
_cell_angle_alpha 90.00
_cell_angle_beta 90.00
_cell_angle_gamma 120.00
loop_
_atom_site_label
_atom_site_fract_x
_atom_site_fract_y
_atom_site_fract_z
Li1 0.0402 0.1786 0.3125
Li2 0.0607 0.8572 0.9076
Mg1 0.0281 0.4340 0.2094
Al1 0.0000 0.0000 0.5000


# 7
# Ca3EuAg (PBE, optimized geometry)
# Fermi-level density of states: 4.067 states/eV/cell
# Formation enthalpy at 0 K: -0.05 eV per atom
data_Ca3EuAg
_chemical_formula_sum 'Ca3 Eu1 Ag1'
_space_group_name_H-M_alt 'P m -3 m'
_space_group_IT_number 221
_space_group_name_Hall '-P 4 2 3'
_cell_length_a 5.8651
_cell_length_b 5.8651
_cell_length_c 5.8651
_cell_angle_alpha 90.00
_cell_angle_beta 90.00
_cell_angle_gamma 90.00
loop_
_atom_site_label
_atom_site_fract_x
_atom_site_fract_y
_atom_site_fract_z
Ca1 0.0000 0.0000 0.5000
Eu1 0.5000 0.5000 0.5000
Ag1 0.0000 0.0000 0.0000


# 8
# OsAuSe2 (PBE, optimized geometry)
# Fermi-level density of states: 13.107 states/eV/cell
# Energy relative to the elements, uncorrected: 112 meV/atom
# E above lowest polymorph: 0.08 eV/f.u.
data_OsAuSe2
_chemical_formula_sum 'Os3 Au3 Se6'
_space_group_name_H-M_alt 'R -3 m'
_space_group_IT_number 166
_space_group_name_Hall '-R 3 2"'
_cell_length_a 3.7483
_cell_length_b 3.7483
_cell_length_c 22.3666
_cell_angle_alpha 90.00
_cell_angle_beta 90.00
_cell_angle_gamma 120.00
loop_
_atom_site_label
_atom_site_fract_x
_atom_site_fract_y
_atom_site_fract_z
Os1 0.0000 0.0000 0.0000
Au1 0.0000 0.0000 0.5000
Se1 0.0000 0.0000 0.3898


# 9
# Y2Tl2C (PBE, optimized geometry)
# Fermi-level density of states: 9.568 states/eV/cell
# Formation enthalpy at 0 K: -0.30 eV per atom
data_Y2Tl2C
_chemical_formula_sum 'Y6 Tl6 C3'
_space_group_name_H-M_alt 'R -3 m'
_space_group_IT_number 166
_space_group_name_Hall '-R 3 2"'
_cell_length_a 3.6514
_cell_length_b 3.6514
_cell_length_c 31.3823
_cell_angle_alpha 90.00
_cell_angle_beta 90.00
_cell_angle_gamma 120.00
loop_
_atom_site_label
_atom_site_fract_x
_atom_site_fract_y
_atom_site_fract_z
Y1 0.0000 0.0000 0.1246
Tl1 0.0000 0.0000 0.2943
C1 0.0000 0.0000 0.5000


# 10
# Rb2CeGaS4 (PBE, optimized geometry)
# Fermi-level density of states: 18.176 states/eV/cell
# Energy relative to the elements, uncorrected: -1167 meV/atom
data_Rb2CeGaS4
_chemical_formula_sum 'Rb8 Ce4 Ga4 S16'
_space_group_name_H-M_alt 'I m m a'
_space_group_IT_number 74
_space_group_name_Hall '-I 2b 2'
_cell_length_a 8.4481
_cell_length_b 8.4578
_cell_length_c 12.2117
_cell_angle_alpha 90.00
_cell_angle_beta 90.00
_cell_angle_gamma 90.00
loop_
_atom_site_label
_atom_site_fract_x
_atom_site_fract_y
_atom_site_fract_z
Rb1 0.0000 0.0000 0.0000
Rb2 0.2500 0.2500 0.2500
Ce1 0.2500 0.2500 0.7500
Ga1 0.0000 0.0000 0.5000
S1 0.0000 0.0391 0.7366
S2 0.1947 0.2500 0.5183


# 11
# MgPPtS2 (PBE, optimized geometry)
# Fermi-level density of states: 2.198 states/eV/cell
# Energy relative to the elements, uncorrected: 241 meV/atom
# E above lowest polymorph: 0.00 eV/f.u.
data_MgPPtS2
_chemical_formula_sum 'Mg1 P1 Pt1 S2'
_space_group_name_H-M_alt 'P 4/m m m'
_space_group_IT_number 123
_space_group_name_Hall '-P 4 2'
_cell_length_a 5.0556
_cell_length_b 5.0556
_cell_length_c 4.3397
_cell_angle_alpha 90.00
_cell_angle_beta 90.00
_cell_angle_gamma 90.00
loop_
_atom_site_label
_atom_site_fract_x
_atom_site_fract_y
_atom_site_fract_z
Mg1 0.0000 0.0000 0.0000
P1 0.5000 0.5000 0.0000
Pt1 0.5000 0.5000 0.5000
S1 0.0000 0.5000 0.5000


# 12
# Nd5Y6In (PBE, optimized geometry)
# Fermi-level density of states: 33.484 states/eV/cell
# Formation enthalpy at 0 K: -0.05 eV per atom
data_Nd5Y6In
_chemical_formula_sum 'Nd10 Y12 In2'
_space_group_name_H-M_alt 'I m m m'
_space_group_IT_number 71
_space_group_name_Hall '-I 2 2'
_cell_length_a 5.0505
_cell_length_b 10.1254
_cell_length_c 15.1925
_cell_angle_alpha 90.00
_cell_angle_beta 90.00
_cell_angle_gamma 90.00
loop_
_atom_site_label
_atom_site_fract_x
_atom_site_fract_y
_atom_site_fract_z
Nd1 0.0000 0.0000 0.0000
Nd2 0.0000 0.0000 0.3310
Nd3 0.0000 0.5000 0.3377
Y1 0.0000 0.2403 0.5000
Y2 0.0000 0.2561 0.1641
In1 0.0000 0.5000 0.0000


# 13
# TbY2Ag (PBE, optimized geometry)
# Fermi-level density of states: 5.492 states/eV/cell
# Formation enthalpy at 0 K: 0.01 eV per atom
# E above lowest polymorph: 0.57 eV/f.u.
data_TbY2Ag
_chemical_formula_sum 'Tb1 Y2 Ag1'
_space_group_name_H-M_alt 'P 4/m m m'
_space_group_IT_number 123
_space_group_name_Hall '-P 4 2'
_cell_length_a 5.4608
_cell_length_b 5.4608
_cell_length_c 3.7268
_cell_angle_alpha 90.00
_cell_angle_beta 90.00
_cell_angle_gamma 90.00
loop_
_atom_site_label
_atom_site_fract_x
_atom_site_fract_y
_atom_site_fract_z
Tb1 0.0000 0.0000 0.0000
Y1 0.0000 0.5000 0.5000
Ag1 0.5000 0.5000 0.0000


# 14
# Sr2Cd2Sn (PBE, optimized geometry)
# Fermi-level density of states: 6.991 states/eV/cell
# Formation enthalpy at 0 K: -0.14 eV per atom
data_Sr2Cd2Sn
_chemical_formula_sum 'Sr4 Cd4 Sn2'
_space_group_name_H-M_alt 'P 4/m b m'
_space_group_IT_number 127
_space_group_name_Hall '-P 4 2ab'
_cell_length_a 9.1958
_cell_length_b 9.1958
_cell_length_c 4.1096
_cell_angle_alpha 90.00
_cell_angle_beta 90.00
_cell_angle_gamma 90.00
loop_
_atom_site_label
_atom_site_fract_x
_atom_site_fract_y
_atom_site_fract_z
Sr1 0.1698 0.3302 0.0000
Cd1 0.1255 0.6255 0.5000
Sn1 0.0000 0.0000 0.0000


# 15
# LaThRe4 (PBE, optimized geometry)
# Fermi-level density of states: 54.643 states/eV/cell
# Formation enthalpy at 0 K: 0.07 eV per atom
data_LaThRe4
_chemical_formula_sum 'La4 Th4 Re16'
_space_group_name_H-M_alt 'F -4 3 m'
_space_group_IT_number 216
_space_group_name_Hall 'F -4 2 3'
_cell_length_a 7.8316
_cell_length_b 7.8316
_cell_length_c 7.8316
_cell_angle_alpha 90.00
_cell_angle_beta 90.00
_cell_angle_gamma 90.00
loop_
_atom_site_label
_atom_site_fract_x
_atom_site_fract_y
_atom_site_fract_z
La1 0.0000 0.0000 0.0000
Th1 0.2500 0.2500 0.7500
Re1 0.1250 0.1250 0.3750